{
  "formula": "K2SrCd6",
  "functional": "PBE",
  "state": "optimized geometry",
  "e_tot_ev_per_atom": -1.180,
  "mass_density_g_cm3": 4.9,
  "delta_e_f_ev_per_atom": -0.139,
  "lattice": [[7.877, -4.549, 0.000], [7.877, 4.549, 0.000], [-0.004, 0.000, 3.934]],
  "species": ["K", "K", "Sr", "Cd", "Cd", "Cd", "Cd", "Cd", "Cd"],
  "frac_coords": [[0.167, 0.167, 0.000], [0.833, 0.833, 0.000], [0.500, 0.500, 0.000], [0.168, 0.500, 0.501], [0.168, 0.832, 0.500], [0.500, 0.168, 0.501], [0.500, 0.832, 0.499], [0.832, 0.168, 0.500], [0.832, 0.500, 0.499]]
}

---

{
  "formula": "KSrCd4",
  "functional": "PBE",
  "state": "optimized geometry",
  "e_tot_ev_per_atom": -1.255,
  "mass_density_g_cm3": 5.0,
  "relative_energy_ev_per_fu": 0.00,
  "delta_e_f_ev_per_atom": -0.182,
  "lattice": [[4.199, 0.000, 0.000], [0.000, 5.104, 0.000], [0.000, 0.000, 8.930]],
  "species": ["K", "Sr", "Cd", "Cd", "Cd", "Cd"],
  "frac_coords": [[0.000, 0.000, 0.000], [0.000, 0.500, 0.500], [0.500, 0.000, 0.336], [0.500, 0.000, 0.664], [0.500, 0.500, 0.167], [0.500, 0.500, 0.833]]
}

---

{
  "formula": "KSr5Cd4",
  "functional": "PBE",
  "state": "optimized geometry",
  "e_tot_ev_per_atom": -1.565,
  "mass_density_g_cm3": 4.0,
  "delta_e_f_ev_per_atom": -0.249,
  "lattice": [[4.123, 0.000, 0.000], [0.000, 4.123, 0.000], [0.000, 0.000, 22.688]],
  "species": ["K", "Sr", "Sr", "Sr", "Sr", "Sr", "Cd", "Cd", "Cd", "Cd"],
  "frac_coords": [[0.000, 0.000, 0.000], [0.500, 0.500, 0.154], [0.500, 0.500, 0.326], [0.500, 0.500, 0.500], [0.500, 0.500, 0.674], [0.500, 0.500, 0.846], [0.000, 0.000, 0.237], [0.000, 0.000, 0.413], [0.000, 0.000, 0.587], [0.000, 0.000, 0.763]]
}

---

{
  "formula": "KSrCd",
  "functional": "PBE",
  "state": "optimized geometry",
  "e_tot_ev_per_atom": -1.303,
  "mass_density_g_cm3": 3.0,
  "relative_energy_ev_per_fu": 0.27,
  "delta_e_f_ev_per_atom": -0.071,
  "lattice": [[5.882, 0.000, 0.000], [0.000, 5.895, 0.000], [0.000, 0.000, 15.469]],
  "species": ["K", "K", "K", "K", "Sr", "Sr", "Sr", "Sr", "Cd", "Cd", "Cd", "Cd"],
  "frac_coords": [[0.000, 0.000, 0.000], [0.000, 0.500, 0.500], [0.500, 0.000, 0.500], [0.500, 0.500, 0.000], [0.000, 0.000, 0.729], [0.000, 0.500, 0.229], [0.500, 0.000, 0.229], [0.500, 0.500, 0.729], [0.000, 0.000, 0.346], [0.000, 0.500, 0.846], [0.500, 0.000, 0.846], [0.500, 0.500, 0.346]]
}

---

{
  "formula": "KSrCd2",
  "functional": "PBE",
  "state": "optimized geometry",
  "e_tot_ev_per_atom": -1.252,
  "mass_density_g_cm3": 4.1,
  "relative_energy_ev_per_fu": 0.19,
  "delta_e_f_ev_per_atom": -0.099,
  "lattice": [[8.284, 0.000, 0.000], [0.000, 8.284, 0.000], [0.000, 0.000, 8.284]],
  "species": ["K", "K", "K", "K", "Sr", "Sr", "Sr", "Sr", "Cd", "Cd", "Cd", "Cd", "Cd", "Cd", "Cd", "Cd"],
  "frac_coords": [[0.000, 0.000, 0.000], [0.000, 0.500, 0.500], [0.500, 0.000, 0.500], [0.500, 0.500, 0.000], [0.000, 0.000, 0.500], [0.000, 0.500, 0.000], [0.500, 0.000, 0.000], [0.500, 0.500, 0.500], [0.250, 0.250, 0.250], [0.250, 0.250, 0.750], [0.250, 0.750, 0.250], [0.250, 0.750, 0.750], [0.750, 0.250, 0.250], [0.750, 0.250, 0.750], [0.750, 0.750, 0.250], [0.750, 0.750, 0.750]]
}

---

{
  "formula": "KSr2Cd9",
  "functional": "PBE",
  "state": "optimized geometry",
  "e_tot_ev_per_atom": -1.258,
  "mass_density_g_cm3": 6.1,
  "delta_e_f_ev_per_atom": -0.200,
  "lattice": [[3.129, 1.807, 9.832], [-3.129, 1.807, 9.832], [0.000, -3.613, 9.832]],
  "species": ["K", "Sr", "Sr", "Cd", "Cd", "Cd", "Cd", "Cd", "Cd", "Cd", "Cd", "Cd"],
  "frac_coords": [[0.000, 0.000, 0.000], [0.143, 0.143, 0.143], [0.857, 0.857, 0.857], [0.076, 0.588, 0.588], [0.335, 0.335, 0.335], [0.412, 0.412, 0.924], [0.412, 0.924, 0.412], [0.500, 0.500, 0.500], [0.588, 0.076, 0.588], [0.588, 0.588, 0.076], [0.665, 0.665, 0.665], [0.924, 0.412, 0.412]]
}

---

{
  "formula": "KSrCd2",
  "functional": "PBE",
  "state": "optimized geometry",
  "e_tot_ev_per_atom": -1.159,
  "mass_density_g_cm3": 3.6,
  "relative_energy_ev_per_fu": 0.56,
  "delta_e_f_ev_per_atom": -0.006,
  "lattice": [[9.816, 0.000, 0.000], [0.000, 4.041, 0.000], [-1.528, 0.000, 8.271]],
  "species": ["K", "K", "Sr", "Sr", "Cd", "Cd", "Cd", "Cd"],
  "frac_coords": [[0.000, 0.000, 0.000], [0.500, 0.500, 0.000], [0.000, 0.500, 0.500], [0.500, 0.000, 0.500], [0.243, 0.000, 0.721], [0.257, 0.500, 0.279], [0.743, 0.500, 0.721], [0.757, 0.000, 0.279]]
}

---

{
  "formula": "K2SrCd",
  "functional": "PBE",
  "state": "optimized geometry",
  "e_tot_ev_per_atom": -1.091,
  "mass_density_g_cm3": 2.1,
  "delta_e_f_ev_per_atom": 0.107,
  "lattice": [[11.039, 0.000, 0.000], [0.000, 11.039, 0.000], [0.000, 0.000, 7.064]],
  "species": ["K", "K", "K", "K", "K", "K", "K", "K", "Sr", "Sr", "Sr", "Sr", "Cd", "Cd", "Cd", "Cd"],
  "frac_coords": [[0.180, 0.750, 0.125], [0.250, 0.180, 0.875], [0.250, 0.320, 0.375], [0.320, 0.750, 0.625], [0.680, 0.250, 0.625], [0.750, 0.680, 0.375], [0.750, 0.820, 0.875], [0.820, 0.250, 0.125], [0.000, 0.000, 0.500], [0.000, 0.500, 0.750], [0.500, 0.000, 0.250], [0.500, 0.500, 0.000], [0.000, 0.000, 0.000], [0.000, 0.500, 0.250], [0.500, 0.000, 0.750], [0.500, 0.500, 0.500]]
}

---

{
  "formula": "KSrTlCd",
  "functional": "PBE",
  "state": "optimized geometry",
  "e_tot_ev_per_atom": -1.647,
  "mass_density_g_cm3": 5.2,
  "delta_e_f_ev_per_atom": -0.132,
  "lattice": [[8.278, 0.000, 0.000], [0.000, 8.278, 0.000], [0.000, 0.000, 8.278]],
  "species": ["K", "K", "K", "K", "Sr", "Sr", "Sr", "Sr", "Tl", "Tl", "Tl", "Tl", "Cd", "Cd", "Cd", "Cd"],
  "frac_coords": [[0.000, 0.000, 0.000], [0.000, 0.500, 0.500], [0.500, 0.000, 0.500], [0.500, 0.500, 0.000], [0.000, 0.000, 0.500], [0.000, 0.500, 0.000], [0.500, 0.000, 0.000], [0.500, 0.500, 0.500], [0.250, 0.250, 0.250], [0.250, 0.750, 0.750], [0.750, 0.250, 0.750], [0.750, 0.750, 0.250], [0.250, 0.250, 0.750], [0.250, 0.750, 0.250], [0.750, 0.250, 0.250], [0.750, 0.750, 0.750]]
}

---

{
  "formula": "KTaCd",
  "functional": "PBE",
  "state": "optimized geometry",
  "e_tot_ev_per_atom": -2.470,
  "mass_density_g_cm3": 4.9,
  "relative_energy_ev_per_fu": 5.49,
  "delta_e_f_ev_per_atom": 2.152,
  "lattice": [[7.649, 0.000, 0.000], [0.000, 7.649, 0.000], [0.000, 0.000, 7.649]],
  "species": ["K", "K", "K", "K", "Ta", "Ta", "Ta", "Ta", "Cd", "Cd", "Cd", "Cd"],
  "frac_coords": [[0.000, 0.000, 0.000], [0.000, 0.500, 0.500], [0.500, 0.000, 0.500], [0.500, 0.500, 0.000], [0.250, 0.250, 0.250], [0.250, 0.750, 0.750], [0.750, 0.250, 0.750], [0.750, 0.750, 0.250], [0.250, 0.250, 0.750], [0.250, 0.750, 0.250], [0.750, 0.250, 0.250], [0.750, 0.750, 0.750]]
}

---

{
  "formula": "KTaCd",
  "functional": "PBE",
  "state": "optimized geometry",
  "e_tot_ev_per_atom": -3.932,
  "mass_density_g_cm3": 5.9,
  "relative_energy_ev_per_fu": 1.10,
  "delta_e_f_ev_per_atom": 0.690,
  "lattice": [[3.761, 0.000, 0.000], [0.000, 3.761, 0.000], [0.000, 0.000, 13.226]],
  "species": ["K", "K", "Ta", "Ta", "Cd", "Cd"],
  "frac_coords": [[0.250, 0.250, 0.246], [0.750, 0.750, 0.754], [0.250, 0.250, 0.967], [0.750, 0.750, 0.033], [0.250, 0.750, 0.500], [0.750, 0.250, 0.500]]
}

---

{
  "formula": "KTaCd",
  "functional": "PBE",
  "state": "optimized geometry",
  "e_tot_ev_per_atom": -4.300,
  "mass_density_g_cm3": 6.2,
  "relative_energy_ev_per_fu": 0.00,
  "delta_e_f_ev_per_atom": 0.322,
  "lattice": [[4.978, 0.000, 0.000], [0.000, 4.978, 0.000], [-0.025, 0.000, 14.309]],
  "species": ["K", "K", "K", "K", "Ta", "Ta", "Ta", "Ta", "Cd", "Cd", "Cd", "Cd"],
  "frac_coords": [[0.249, 0.000, 0.144], [0.251, 0.500, 0.856], [0.749, 0.500, 0.144], [0.751, 0.000, 0.856], [0.249, 0.000, 0.457], [0.251, 0.500, 0.543], [0.749, 0.500, 0.457], [0.751, 0.000, 0.543], [0.249, 0.500, 0.331], [0.251, 0.000, 0.669], [0.749, 0.000, 0.331], [0.751, 0.500, 0.669]]
}

---

{
  "formula": "KTaCd",
  "functional": "PBE",
  "state": "optimized geometry",
  "e_tot_ev_per_atom": -3.761,
  "mass_density_g_cm3": 6.4,
  "relative_energy_ev_per_fu": 1.62,
  "delta_e_f_ev_per_atom": 0.861,
  "lattice": [[2.774, 0.000, 0.000], [0.000, 4.713, 0.000], [0.000, 0.000, 13.153]],
  "species": ["K", "K", "Ta", "Ta", "Cd", "Cd"],
  "frac_coords": [[0.000, 0.000, 0.000], [0.500, 0.500, 0.500], [0.000, 0.000, 0.718], [0.500, 0.500, 0.218], [0.000, 0.000, 0.296], [0.500, 0.500, 0.796]]
}

---

{
  "formula": "KTaCd",
  "functional": "PBE",
  "state": "optimized geometry",
  "e_tot_ev_per_atom": -3.472,
  "mass_density_g_cm3": 7.2,
  "relative_energy_ev_per_fu": 2.48,
  "delta_e_f_ev_per_atom": 1.150,
  "lattice": [[5.610, 0.000, 0.000], [-2.805, 4.859, 0.000], [0.000, 0.000, 2.802]],
  "species": ["K", "Ta", "Cd"],
  "frac_coords": [[0.000, 0.000, 0.000], [0.667, 0.333, 0.500], [0.333, 0.667, 0.500]]
}

---

{
  "formula": "KTaCd",
  "functional": "PBE",
  "state": "optimized geometry",
  "e_tot_ev_per_atom": -4.141,
  "mass_density_g_cm3": 5.8,
  "relative_energy_ev_per_fu": 0.48,
  "delta_e_f_ev_per_atom": 0.480,
  "lattice": [[3.176, 0.000, 0.000], [0.000, 4.417, 0.000], [-1.029, 0.000, 13.493]],
  "species": ["K", "K", "Ta", "Ta", "Cd", "Cd"],
  "frac_coords": [[0.000, 0.000, 0.000], [0.274, 0.500, 0.308], [0.419, 0.000, 0.749], [0.925, 0.500, 0.770], [0.364, 0.500, 0.582], [0.835, 0.000, 0.494]]
}

---

{
  "formula": "KTaCd",
  "functional": "PBE",
  "state": "optimized geometry",
  "e_tot_ev_per_atom": -3.275,
  "mass_density_g_cm3": 7.5,
  "relative_energy_ev_per_fu": 3.07,
  "delta_e_f_ev_per_atom": 1.346,
  "lattice": [[5.314, 0.000, 0.000], [-2.657, 4.602, 0.000], [0.000, 0.000, 6.013]],
  "species": ["K", "K", "Ta", "Ta", "Cd", "Cd"],
  "frac_coords": [[0.000, 0.000, 0.000], [0.000, 0.000, 0.500], [0.333, 0.667, 0.250], [0.667, 0.333, 0.750], [0.333, 0.667, 0.750], [0.667, 0.333, 0.250]]
}

---

{
  "formula": "KTaCd",
  "functional": "PBE",
  "state": "optimized geometry",
  "e_tot_ev_per_atom": -4.046,
  "mass_density_g_cm3": 6.3,
  "relative_energy_ev_per_fu": 0.76,
  "delta_e_f_ev_per_atom": 0.576,
  "lattice": [[2.999, 0.000, 0.000], [-1.500, 6.375, 0.000], [-0.023, -0.885, 9.101]],
  "species": ["K", "K", "Ta", "Ta", "Cd", "Cd"],
  "frac_coords": [[0.000, 0.000, 0.000], [0.241, 0.466, 0.707], [0.266, 0.538, 0.190], [0.898, 0.796, 0.365], [0.483, 0.963, 0.632], [0.606, 0.213, 0.340]]
}

---

{
  "formula": "KTaCd",
  "functional": "PBE",
  "state": "optimized geometry",
  "e_tot_ev_per_atom": -4.132,
  "mass_density_g_cm3": 6.8,
  "relative_energy_ev_per_fu": 0.50,
  "delta_e_f_ev_per_atom": 0.490,
  "lattice": [[3.138, 0.000, 0.000], [0.716, 3.056, 0.000], [0.189, 0.325, 16.945]],
  "species": ["K", "K", "Ta", "Ta", "Cd", "Cd"],
  "frac_coords": [[0.000, 0.000, 0.000], [0.313, 0.366, 0.247], [0.484, 0.497, 0.811], [0.906, 0.928, 0.699], [0.391, 0.423, 0.562], [0.802, 0.843, 0.417]]
}

---

{
  "formula": "KTaCd",
  "functional": "PBE",
  "state": "optimized geometry",
  "e_tot_ev_per_atom": -3.883,
  "mass_density_g_cm3": 5.9,
  "relative_energy_ev_per_fu": 1.25,
  "delta_e_f_ev_per_atom": 0.739,
  "lattice": [[13.250, 0.000, 0.000], [0.000, 5.264, 0.000], [0.000, 0.000, 5.392]],
  "species": ["K", "K", "K", "K", "Ta", "Ta", "Ta", "Ta", "Cd", "Cd", "Cd", "Cd"],
  "frac_coords": [[0.250, 0.250, 0.245], [0.250, 0.750, 0.745], [0.750, 0.250, 0.255], [0.750, 0.750, 0.755], [0.000, 0.250, 0.503], [0.000, 0.750, 0.497], [0.500, 0.250, 0.997], [0.500, 0.750, 0.003], [0.000, 0.000, 0.000], [0.000, 0.500, 0.000], [0.500, 0.000, 0.500], [0.500, 0.500, 0.500]]
}

---

{
  "formula": "KTaCd",
  "functional": "PBE",
  "state": "optimized geometry",
  "e_tot_ev_per_atom": -2.862,
  "mass_density_g_cm3": 6.0,
  "relative_energy_ev_per_fu": 4.31,
  "delta_e_f_ev_per_atom": 1.760,
  "lattice": [[7.157, 0.000, 0.000], [0.000, 7.157, 0.000], [0.000, 0.000, 7.157]],
  "species": ["K", "K", "K", "K", "Ta", "Ta", "Ta", "Ta", "Cd", "Cd", "Cd", "Cd"],
  "frac_coords": [[0.000, 0.000, 0.000], [0.000, 0.500, 0.500], [0.500, 0.000, 0.500], [0.500, 0.500, 0.000], [0.000, 0.000, 0.500], [0.000, 0.500, 0.000], [0.500, 0.000, 0.000], [0.500, 0.500, 0.500], [0.250, 0.250, 0.250], [0.250, 0.750, 0.750], [0.750, 0.250, 0.750], [0.750, 0.750, 0.250]]
}